1.
{"formula": "TlAgCl2", "functional": "GGA-PBEsol", "state": "relaxed", "lattice": [[3.9926, 0.0000, 0.0000], [0.0000, 5.9207, 0.0000], [0.0000, 0.0000, 8.1331]], "species": ["Tl", "Tl", "Ag", "Ag", "Cl", "Cl", "Cl", "Cl"], "fractional_positions": [[0.0000, 0.0000, 0.0000], [0.5000, 0.5000, 0.5000], [0.0000, 0.0000, 0.5000], [0.5000, 0.5000, 0.0000], [0.0000, 0.5000, 0.2041], [0.0000, 0.5000, 0.7959], [0.5000, 0.0000, 0.2959], [0.5000, 0.0000, 0.7041]], "e_tot_ev_per_atom": -3.08, "formation_energy_uncorrected_kcal_per_mol_atoms": -13.60, "dos_ef_per_ev_atom": 0.0000}

2.
{"formula": "TlAgCl2", "functional": "GGA-PBEsol", "state": "relaxed", "lattice": [[7.5432, 0.0000, 0.0000], [0.0000, 7.5432, 0.0000], [0.0000, 0.0000, 7.0595]], "species": ["Tl", "Tl", "Tl", "Tl", "Ag", "Ag", "Ag", "Ag", "Cl", "Cl", "Cl", "Cl", "Cl", "Cl", "Cl", "Cl"], "fractional_positions": [[0.0000, 0.0000, 0.0000], [0.0000, 0.5000, 0.2500], [0.5000, 0.0000, 0.7500], [0.5000, 0.5000, 0.5000], [0.0000, 0.0000, 0.5000], [0.0000, 0.5000, 0.7500], [0.5000, 0.0000, 0.2500], [0.5000, 0.5000, 0.0000], [0.1913, 0.7500, 0.6250], [0.2500, 0.1913, 0.3750], [0.2500, 0.3087, 0.8750], [0.3087, 0.7500, 0.1250], [0.6913, 0.2500, 0.1250], [0.7500, 0.6913, 0.8750], [0.7500, 0.8087, 0.3750], [0.8087, 0.2500, 0.6250]], "e_tot_ev_per_atom": -3.12, "formation_energy_uncorrected_kcal_per_mol_atoms": -14.62, "dos_ef_per_ev_atom": 0.0000}

3.
{"formula": "TlAgCl2", "functional": "GGA-PBEsol", "state": "relaxed", "lattice": [[14.0835, 0.0000, 0.0000], [0.0000, 3.8128, 0.0000], [-1.0042, 0.0000, 3.9230]], "species": ["Tl", "Tl", "Ag", "Ag", "Cl", "Cl", "Cl", "Cl"], "fractional_positions": [[0.0000, 0.0000, 0.0000], [0.5000, 0.5000, 0.0000], [0.2713, 0.5000, 0.4918], [0.7713, 0.0000, 0.4918], [0.1680, 0.0000, 0.6392], [0.3890, 0.0000, 0.3855], [0.6680, 0.5000, 0.6392], [0.8890, 0.5000, 0.3855]], "e_tot_ev_per_atom": -3.07, "formation_energy_uncorrected_kcal_per_mol_atoms": -13.50, "dos_ef_per_ev_atom": 0.0000}

4.
{"formula": "TlAgCl3", "functional": "GGA-PBEsol", "state": "relaxed", "lattice": [[3.5309, 2.0386, 5.6815], [-3.5309, 2.0386, 5.6815], [0.0000, -4.0772, 5.6815]], "species": ["Tl", "Tl", "Ag", "Ag", "Cl", "Cl", "Cl", "Cl", "Cl", "Cl"], "fractional_positions": [[0.0000, 0.0000, 0.0000], [0.5000, 0.5000, 0.5000], [0.2504, 0.2504, 0.2504], [0.7504, 0.7504, 0.7504], [0.0001, 0.4650, 0.5357], [0.0357, 0.9650, 0.5001], [0.4650, 0.5357, 0.0001], [0.5001, 0.0357, 0.9650], [0.5357, 0.0001, 0.4650], [0.9650, 0.5001, 0.0357]], "e_tot_ev_per_atom": -3.02, "formation_energy_uncorrected_kcal_per_mol_atoms": -14.40, "dos_ef_per_ev_atom": 0.2188}

Number 1: total magnetization 0.00 μB per formula unit. Number 2: total magnetization 0.00 μB per formula unit. Number 3: total magnetization 0.00 μB per formula unit. Number 4: total magnetization 0.00 μB per formula unit.